The following is a DFT calculation (PBE) of an optimized crystal structure of Fe2MoOs. Values from VASP.

Quantum ESPRESSO input file:
```
&SYSTEM
  ibrav = 0, nat = 4, ntyp = 3
/
ATOMIC_SPECIES
Fe 55.84 Fe.upf
Mo 95.94 Mo.upf
Os 190.23 Os.upf
CELL_PARAMETERS angstrom
-2.183 1.523 3.637
0.851 -2.808 3.421
2.778 2.090 -2.867
ATOMIC_POSITIONS crystal
Fe 0.000 0.000 0.000
Fe 0.500 0.500 0.000
Mo 0.750 0.250 0.500
Os 0.250 0.750 0.500
```

## Properties
- Total DFT energy (no corrections): -9.639 eV/atom
- Energy of formation: 0.11 eV per atom
- Magnetic moment: 0.36 μB per formula unit

The following is a DFT calculation (PBE) of an optimized crystal structure of Fe2MoOs. Values from VASP.

Quantum ESPRESSO input file:
```
&SYSTEM
  ibrav = 0, nat = 4, ntyp = 3
/
ATOMIC_SPECIES
Fe 55.84 Fe.upf
Mo 95.94 Mo.upf
Os 190.23 Os.upf
CELL_PARAMETERS angstrom
4.215 0.000 0.000
0.000 4.215 0.000
0.000 0.000 3.007
ATOMIC_POSITIONS crystal
Fe 0.000 0.000 0.000
Fe 0.500 0.500 0.000
Mo 0.500 0.000 0.500
Os 0.000 0.500 0.500
```

## Properties
- Total DFT energy (no corrections): -9.581 eV/atom
- Energy of formation: 0.17 eV per atom
- Magnetic moment: 4.77 μB per formula unit

The following is a DFT calculation (PBE) of an optimized crystal structure of FeMo2Os. Values from VASP.

Quantum ESPRESSO input file:
```
&SYSTEM
  ibrav = 0, nat = 4, ntyp = 3
/
ATOMIC_SPECIES
Fe 55.84 Fe.upf
Mo 95.94 Mo.upf
Os 190.23 Os.upf
CELL_PARAMETERS angstrom
-3.103 2.776 -0.452
-1.258 -1.685 -1.718
-3.187 -3.076 2.995
ATOMIC_POSITIONS crystal
Fe 0.500 0.750 0.750
Mo 0.000 0.972 0.996
Mo 0.000 0.528 0.504
Os 0.500 0.250 0.250
```

## Properties
- Total DFT energy (no corrections): -10.183 eV/atom
- Energy of formation: 0.16 eV per atom
- Magnetic moment: 2.69 μB per formula unit

The following is a DFT calculation (PBE) of an optimized crystal structure of Fe2MoOs. Values from VASP.

Quantum ESPRESSO input file:
```
&SYSTEM
  ibrav = 0, nat = 4, ntyp = 3
/
ATOMIC_SPECIES
Fe 55.84 Fe.upf
Mo 95.94 Mo.upf
Os 190.23 Os.upf
CELL_PARAMETERS angstrom
-0.397 4.506 -1.977
-0.079 0.253 -4.929
-2.268 -1.923 3.939
ATOMIC_POSITIONS crystal
Fe 0.991 0.991 0.000
Fe 0.757 0.257 0.500
Mo 0.506 0.506 0.000
Os 0.246 0.746 0.500
```

## Properties
- Total DFT energy (no corrections): -9.644 eV/atom
- Energy of formation: 0.10 eV per atom
- Magnetic moment: 5.09 μB per formula unit

The following is a DFT calculation (PBE) of an optimized crystal structure of Fe2MoOs. Values from VASP.

Quantum ESPRESSO input file:
```
&SYSTEM
  ibrav = 0, nat = 4, ntyp = 3
/
ATOMIC_SPECIES
Fe 55.84 Fe.upf
Mo 95.94 Mo.upf
Os 190.23 Os.upf
CELL_PARAMETERS angstrom
2.609 0.014 0.000
-0.862 2.463 0.000
0.000 0.000 8.523
ATOMIC_POSITIONS crystal
Fe 0.000 0.000 0.997
Fe 0.000 0.000 0.503
Mo 0.500 0.500 0.250
Os 0.500 0.500 0.750
```

## Properties
- Total DFT energy (no corrections): -9.512 eV/atom
- Energy of formation: 0.23 eV per atom
- Magnetic moment: 5.28 μB per formula unit

The following is a DFT calculation (PBE) of an optimized crystal structure of FeMoOs2. Values from VASP.

Quantum ESPRESSO input file:
```
&SYSTEM
  ibrav = 0, nat = 4, ntyp = 3
/
ATOMIC_SPECIES
Fe 55.84 Fe.upf
Mo 95.94 Mo.upf
Os 190.23 Os.upf
CELL_PARAMETERS angstrom
2.731 0.000 0.000
0.000 3.784 0.000
0.000 0.000 5.461
ATOMIC_POSITIONS crystal
Fe 0.500 0.500 0.250
Mo 0.500 0.500 0.750
Os 0.000 0.000 0.015
Os 0.000 0.000 0.485
```

## Properties
- Total DFT energy (no corrections): -10.317 eV/atom
- Energy of formation: 0.12 eV per atom
- Magnetic moment: 1.90 μB per formula unit

Question: Which formula does entry 1 have?
Answer: Fe2MoOs

Question: Which of these has the highest magnetic moment?
Answer: number 5

Question: Which of these has the highest magnetic moment?
Answer: number 5